Record 1
Cd6HgPb | PBE | relaxed

The value obtained for the energy above the lowest structure with this stoichiometry is 0.00 eV/f.u. The calculation puts the density of states at the Fermi level at 2.13 states/eV/cell. Its energy of formation is 0.030 eV/atom. The calculation puts the total energy at -1.158 eV per atom.

a = 3.175 Å, b = 7.199 Å, c = 8.833 Å
α = 88.92°, β = 79.65°, γ = 77.26°
Atoms (fractional coordinates):
Cd (0.510, 0.747, 0.232)
Cd (0.768, 0.098, 0.366)
Cd (0.249, 0.375, 0.127)
Cd (0.490, 0.253, 0.768)
Cd (0.751, 0.625, 0.873)
Cd (0.232, 0.902, 0.634)
Hg (0.000, 0.000, 0.000)
Pb (0.000, 0.500, 0.500)

Record 2
NdSmInPt | PBE | relaxed

The calculation puts the density of states at the Fermi level at 3.32 states/eV/cell. Its energy of formation is -0.659 eV/atom. The calculation puts the total energy at -5.225 eV per atom.

a = 5.271 Å, b = 5.271 Å, c = 5.271 Å
α = 60.00°, β = 60.00°, γ = 60.00°
Atoms (fractional coordinates):
Nd (0.000, 0.000, 0.000)
Pt (0.750, 0.750, 0.750)
In (0.250, 0.250, 0.250)
Sm (0.500, 0.500, 0.500)

Record 3
Sm4AgPd2 | PBE | relaxed

The value obtained for the energy above the lowest structure with this stoichiometry is 0.00 eV/f.u. The calculation puts the density of states at the Fermi level at 13.92 states/eV/cell. Its energy of formation is -0.506 eV/atom. The calculation puts the total energy at -5.094 eV per atom.

a = 7.263 Å, b = 7.136 Å, c = 8.592 Å
α = 107.41°, β = 107.98°, γ = 105.95°
Atoms (fractional coordinates):
Sm (0.855, 0.600, 0.608)
Sm (0.497, 0.742, 0.892)
Sm (0.751, 0.164, 0.775)
Sm (0.905, 0.645, 0.184)
Sm (0.226, 0.139, 0.725)
Sm (0.382, 0.480, 0.202)
Sm (0.972, 0.211, 0.317)
Sm (0.430, 0.028, 0.298)
Pd (0.770, 0.901, 0.436)
Pd (0.437, 0.385, 0.571)
Pd (0.584, 0.215, 0.064)
Pd (0.117, 0.565, 0.929)
Ag (0.295, 0.722, 0.516)
Ag (0.029, 0.955, 0.984)

Record 4
AgW | PBE | relaxed

The value obtained for the energy above the lowest structure with this stoichiometry is 1.46 eV/f.u. The calculation puts the density of states at the Fermi level at 3.36 states/eV/cell. Its energy of formation is 1.073 eV/atom. The calculation puts the total energy at -6.829 eV per atom.

a = 4.438 Å, b = 4.438 Å, c = 8.372 Å
α = 90.00°, β = 90.00°, γ = 120.00°
Atoms (fractional coordinates):
Ag (0.333, 0.667, 0.750)
Ag (0.000, 0.000, 0.750)
Ag (0.000, 0.000, 0.250)
Ag (0.667, 0.333, 0.250)
W (0.667, 0.333, 0.570)
W (0.667, 0.333, 0.930)
W (0.333, 0.667, 0.070)
W (0.333, 0.667, 0.430)

Record 5
LiZr2I | PBE | relaxed

The uncorrected formation energy comes out at 0.21 eV/atom. The value obtained for the energy above the lowest structure with this stoichiometry is 0.00 eV/f.u. The calculation puts the density of states at the Fermi level at 6.46 states/eV/cell. The calculation puts the total energy at -4.930 eV per atom.

a = 4.099 Å, b = 4.099 Å, c = 11.604 Å
α = 79.83°, β = 79.83°, γ = 90.00°
Atoms (fractional coordinates):
Zr (0.631, 0.125, 0.250)
Zr (0.375, 0.369, 0.750)
Zr (0.875, 0.881, 0.750)
Zr (0.119, 0.625, 0.250)
I (0.750, 0.250, 0.500)
I (0.000, 0.000, 0.000)
Li (0.500, 0.500, 0.000)
Li (0.250, 0.750, 0.500)

Record 6
Rb2TiSnBr6 | PBE | relaxed

The uncorrected formation energy comes out at -1.20 eV/atom. The calculation puts the density of states at the Fermi level at 10.94 states/eV/cell. The calculation puts the total energy at -3.587 eV per atom.

a = 7.954 Å, b = 7.954 Å, c = 7.953 Å
α = 60.00°, β = 60.00°, γ = 90.00°
Atoms (fractional coordinates):
Br (0.738, 0.738, 0.524)
Br (0.262, 0.738, 0.000)
Br (0.262, 0.262, 0.476)
Br (0.738, 0.738, 0.000)
Br (0.738, 0.262, 0.000)
Br (0.262, 0.262, 0.000)
Rb (0.250, 0.750, 0.500)
Rb (0.750, 0.250, 0.500)
Ti (0.500, 0.500, 0.000)
Sn (0.000, 0.000, 0.000)

Record 7
HgRu4Br | PBE | relaxed

The uncorrected formation energy comes out at 1.04 eV/atom. The calculation puts the density of states at the Fermi level at 7.98 states/eV/cell. The calculation puts the total energy at -5.475 eV per atom.

a = 5.287 Å, b = 5.287 Å, c = 5.287 Å
α = 60.00°, β = 60.00°, γ = 60.00°
Atoms (fractional coordinates):
Hg (0.000, 0.000, 0.000)
Ru (0.872, 0.376, 0.376)
Ru (0.376, 0.376, 0.376)
Ru (0.376, 0.872, 0.376)
Ru (0.376, 0.376, 0.872)
Br (0.750, 0.750, 0.750)

Record 8
SnHNF2 | PBE | relaxed

The value obtained for the energy above the lowest structure with this stoichiometry is 0.09 eV/f.u. The calculation puts the density of states at the Fermi level at 1.82 states/eV/cell. The calculation puts the total energy at -4.091 eV per atom.

a = 3.265 Å, b = 3.265 Å, c = 4.409 Å
α = 90.00°, β = 90.00°, γ = 90.00°
Atoms (fractional coordinates):
Sn (0.500, 0.500, 0.500)
N (0.000, 0.000, 0.500)
H (0.000, 0.000, 0.000)
F (0.500, 0.000, 0.000)
F (0.000, 0.500, 0.000)

Record 9
LaMnTl | PBE | relaxed

The calculation puts the density of states at the Fermi level at 2.83 states/eV/cell. Its energy of formation is 0.173 eV/atom. The calculation puts the total energy at -5.314 eV per atom.

a = 4.918 Å, b = 4.918 Å, c = 4.918 Å
α = 60.00°, β = 60.00°, γ = 60.00°
Atoms (fractional coordinates):
La (0.500, 0.500, 0.500)
Mn (0.250, 0.250, 0.250)
Tl (0.000, 0.000, 0.000)

Record 10
Sc2P2Cl | PBE | relaxed

The uncorrected formation energy comes out at -1.02 eV/atom. The value obtained for the energy above the lowest structure with this stoichiometry is 1.23 eV/f.u. The calculation puts the density of states at the Fermi level at 2.73 states/eV/cell. The calculation puts the total energy at -6.085 eV per atom.

a = 4.403 Å, b = 4.403 Å, c = 7.705 Å
α = 82.23°, β = 82.23°, γ = 48.56°
Atoms (fractional coordinates):
P (0.710, 0.710, 0.889)
P (0.290, 0.290, 0.111)
Cl (0.000, 0.000, 0.500)
Sc (0.430, 0.430, 0.775)
Sc (0.570, 0.570, 0.225)

Record 11
DyInTeS | PBE | relaxed

The uncorrected formation energy comes out at -1.17 eV/atom. The calculation puts the total energy at -4.819 eV per atom.

a = 4.218 Å, b = 4.218 Å, c = 8.323 Å
α = 90.02°, β = 104.67°, γ = 120.00°
Atoms (fractional coordinates):
S (0.516, 0.156, 0.688)
Dy (0.283, 0.539, 0.838)
Te (0.118, 0.957, 0.090)
In (0.960, 0.378, 0.354)

Record 12
PrGe2Pd7 | PBE | relaxed

The value obtained for the energy above the lowest structure with this stoichiometry is 0.00 eV/f.u. The calculation puts the density of states at the Fermi level at 4.34 states/eV/cell. Its energy of formation is -0.584 eV/atom. The calculation puts the total energy at -5.620 eV per atom.

a = 4.132 Å, b = 4.132 Å, c = 10.748 Å
α = 101.08°, β = 101.08°, γ = 90.00°
Atoms (fractional coordinates):
Pd (0.607, 0.107, 0.214)
Pd (0.393, 0.893, 0.786)
Pd (0.750, 0.250, 0.500)
Pd (0.500, 0.500, 0.000)
Pd (0.893, 0.393, 0.786)
Pd (0.107, 0.607, 0.214)
Pd (0.250, 0.750, 0.500)
Ge (0.324, 0.324, 0.648)
Ge (0.676, 0.676, 0.352)
Pr (0.000, 0.000, 0.000)

Record 13
Cr2Pd2N | PBE | relaxed

The uncorrected formation energy comes out at 0.00 eV/atom. The value obtained for the energy above the lowest structure with this stoichiometry is 0.00 eV/f.u. The calculation puts the density of states at the Fermi level at 8.35 states/eV/cell. The calculation puts the total energy at -7.589 eV per atom.

a = 5.158 Å, b = 5.158 Å, c = 4.707 Å
α = 90.00°, β = 90.00°, γ = 90.00°
Atoms (fractional coordinates):
Cr (0.168, 0.332, 0.000)
Cr (0.832, 0.668, 0.000)
Cr (0.668, 0.168, 0.000)
Cr (0.332, 0.832, 0.000)
Pd (0.820, 0.320, 0.500)
Pd (0.680, 0.820, 0.500)
Pd (0.180, 0.680, 0.500)
Pd (0.320, 0.180, 0.500)
N (0.000, 0.000, 0.000)
N (0.500, 0.500, 0.000)

Record 14
InCuI2N | PBE | relaxed

The uncorrected formation energy comes out at 0.86 eV/atom. The value obtained for the energy above the lowest structure with this stoichiometry is 1.83 eV/f.u. The calculation puts the density of states at the Fermi level at 2.79 states/eV/cell. The calculation puts the total energy at -2.790 eV per atom.

a = 6.029 Å, b = 6.029 Å, c = 4.050 Å
α = 90.00°, β = 90.00°, γ = 90.00°
Atoms (fractional coordinates):
N (0.000, 0.000, 0.500)
I (0.000, 0.500, 0.000)
I (0.500, 0.000, 0.000)
Cu (0.500, 0.500, 0.500)
In (0.000, 0.000, 0.000)

Record 15
Ba2PtSe | PBE | relaxed

The uncorrected formation energy comes out at -1.26 eV/atom. The calculation puts the total energy at -4.607 eV per atom.

a = 6.465 Å, b = 6.465 Å, c = 5.061 Å
α = 90.02°, β = 90.02°, γ = 38.40°
Atoms (fractional coordinates):
Se (0.730, 0.730, 0.875)
Ba (0.255, 0.255, 0.375)
Ba (0.000, 0.000, 0.875)
Pt (0.515, 0.515, 0.375)

Record 16
Li2CoGe2 | PBE | relaxed

The value obtained for the energy above the lowest structure with this stoichiometry is 0.35 eV/f.u. The calculation puts the density of states at the Fermi level at 6.85 states/eV/cell. Its energy of formation is -0.160 eV/atom. The calculation puts the total energy at -4.194 eV per atom.

a = 6.154 Å, b = 6.154 Å, c = 4.038 Å
α = 90.00°, β = 90.00°, γ = 90.00°
Atoms (fractional coordinates):
Ge (0.648, 0.148, 0.000)
Ge (0.852, 0.648, 0.000)
Ge (0.148, 0.352, 0.000)
Ge (0.352, 0.852, 0.000)
Li (0.666, 0.834, 0.500)
Li (0.834, 0.334, 0.500)
Li (0.334, 0.166, 0.500)
Li (0.166, 0.666, 0.500)
Co (0.000, 0.000, 0.000)
Co (0.500, 0.500, 0.000)

Record 17
Pr8Dy5Th | PBE | relaxed

The calculation puts the density of states at the Fermi level at 18.68 states/eV/cell. Its energy of formation is 0.027 eV/atom. The calculation puts the total energy at -4.878 eV per atom.

a = 9.655 Å, b = 7.296 Å, c = 9.639 Å
α = 112.34°, β = 119.97°, γ = 100.90°
Atoms (fractional coordinates):
Dy (0.479, 0.926, 0.514)
Dy (0.058, 0.936, 0.237)
Dy (0.912, 0.931, 0.808)
Dy (0.334, 0.921, 0.083)
Dy (0.057, 0.429, 0.238)
Pr (0.476, 0.425, 0.514)
Pr (0.916, 0.431, 0.808)
Pr (0.196, 0.927, 0.659)
Pr (0.335, 0.428, 0.084)
Pr (0.773, 0.937, 0.383)
Pr (0.621, 0.922, 0.941)
Pr (0.773, 0.429, 0.380)
Pr (0.624, 0.430, 0.943)
Th (0.196, 0.428, 0.658)

Record 18
Pr12YEr6 | PBE | relaxed

The value obtained for the energy above the lowest structure with this stoichiometry is 0.00 eV/f.u. The calculation puts the density of states at the Fermi level at 32.64 states/eV/cell. Its energy of formation is 0.129 eV/atom. The calculation puts the total energy at -4.671 eV per atom.

a = 8.729 Å, b = 8.729 Å, c = 8.729 Å
α = 88.88°, β = 88.88°, γ = 88.88°
Atoms (fractional coordinates):
Y (0.000, 0.000, 0.000)
Pr (0.982, 0.808, 0.636)
Pr (0.808, 0.636, 0.982)
Pr (0.536, 0.433, 0.783)
Pr (0.567, 0.217, 0.464)
Pr (0.217, 0.464, 0.567)
Pr (0.364, 0.018, 0.192)
Pr (0.433, 0.783, 0.536)
Pr (0.018, 0.192, 0.364)
Pr (0.192, 0.364, 0.018)
Pr (0.783, 0.536, 0.433)
Pr (0.636, 0.982, 0.808)
Pr (0.464, 0.567, 0.217)
Er (0.295, 0.741, 0.900)
Er (0.100, 0.705, 0.259)
Er (0.705, 0.259, 0.100)
Er (0.900, 0.295, 0.741)
Er (0.259, 0.100, 0.705)
Er (0.741, 0.900, 0.295)

Record 19
Li4Ca2Zn5 | PBE | relaxed

The calculation puts the density of states at the Fermi level at 5.22 states/eV/cell. Its energy of formation is -0.154 eV/atom. The calculation puts the total energy at -1.793 eV per atom.

a = 5.976 Å, b = 6.814 Å, c = 6.829 Å
α = 93.90°, β = 64.05°, γ = 63.99°
Atoms (fractional coordinates):
Zn (0.000, 0.500, 0.500)
Zn (0.278, 0.214, 0.668)
Zn (0.840, 0.214, 0.668)
Zn (0.722, 0.786, 0.332)
Zn (0.160, 0.786, 0.332)
Li (0.351, 0.054, 0.243)
Li (0.280, 0.406, 0.035)
Li (0.649, 0.946, 0.757)
Li (0.720, 0.594, 0.965)
Ca (0.249, 0.746, 0.756)
Ca (0.751, 0.254, 0.244)

Record 20
Ba2LaH12Pd3 | PBE | relaxed

The calculation puts the density of states at the Fermi level at 3.54 states/eV/cell. The calculation puts the total energy at -3.939 eV per atom.

a = 6.556 Å, b = 6.556 Å, c = 6.556 Å
α = 64.17°, β = 64.17°, γ = 64.17°
Atoms (fractional coordinates):
H (0.098, 0.727, 0.727)
H (0.422, 0.873, 0.873)
H (0.127, 0.578, 0.127)
H (0.727, 0.727, 0.098)
H (0.273, 0.273, 0.902)
H (0.127, 0.127, 0.578)
H (0.273, 0.902, 0.273)
H (0.902, 0.273, 0.273)
H (0.578, 0.127, 0.127)
H (0.873, 0.873, 0.422)
H (0.873, 0.422, 0.873)
H (0.727, 0.098, 0.727)
Pd (0.000, 0.500, 0.000)
Pd (0.000, 0.000, 0.500)
Pd (0.500, 0.000, 0.000)
Ba (0.390, 0.390, 0.390)
Ba (0.610, 0.610, 0.610)
La (0.000, 0.000, 0.000)